1.
A plane-wave DFT calculation with GGA-PBE was carried out for a relaxed structure of AcPuSiAg.

Calculated values
Crystal system = cubic
Total moment = 24.8 Bohr magnetons per cell
Total DFT energy (no corrections) = -109.62 eV for the cell shown

a = 7.5233 Å, b = 7.5233 Å, c = 7.5233 Å
α = 90.00°, β = 90.00°, γ = 90.00°
Space group F-43m (No. 216)
Inequivalent atoms, fractional coordinates:
Ac  0.0000  0.0000  0.0000 [4 per cell]
Pu  0.0000  0.0000  0.5000 [4 per cell]
Si  0.2500  0.2500  0.2500 [4 per cell]
Ag  0.2500  0.2500  0.7500 [4 per cell]

2.
A plane-wave DFT calculation with GGA-PBE was carried out for a relaxed structure of KLa2Ta.

Calculated values
Crystal system = tetragonal
Total moment = 0.0 Bohr magnetons per cell
Distance to the lowest polymorph of the same formula = 0.373 eV per atom
Total DFT energy (no corrections) = -19.63 eV for the cell shown
DFT formation energy = 0.794 eV/atom

a = 4.0241 Å, b = 4.0241 Å, c = 9.4320 Å
α = 90.00°, β = 90.00°, γ = 90.00°
Space group P4mm (No. 99)
Inequivalent atoms, fractional coordinates:
K  0.0000  0.0000  0.0000 [1 per cell]
La  0.0000  0.0000  0.6068 [1 per cell]
La  0.5000  0.5000  0.3730 [1 per cell]
Ta  0.5000  0.5000  0.7089 [1 per cell]

3.
A plane-wave DFT calculation with GGA-PBE was carried out for a relaxed structure of LaInW2.

Calculated values
Crystal system = orthorhombic
Total moment = 0.1 Bohr magnetons per cell
Total DFT energy (no corrections) = -30.61 eV for the cell shown
DFT formation energy = 0.740 eV/atom

a = 2.8922 Å, b = 4.5680 Å, c = 6.6643 Å
α = 90.00°, β = 90.00°, γ = 90.00°
Space group Pmmm (No. 47)
Inequivalent atoms, fractional coordinates:
La  0.0000  0.0000  0.0000 [1 per cell]
In  0.0000  0.0000  0.5000 [1 per cell]
W  0.5000  0.5000  0.3110 [2 per cell]

4.
A plane-wave DFT calculation with GGA-PBE was carried out for a relaxed structure of Er2OsW.

Calculated values
Crystal system = trigonal
Total moment = 0.9 Bohr magnetons per cell
Total DFT energy (no corrections) = -90.49 eV for the cell shown
DFT formation energy = 0.786 eV/atom

a = 3.0990 Å, b = 3.0990 Å, c = 30.2562 Å
α = 90.00°, β = 90.00°, γ = 120.00°
Space group R-3m (No. 166, hexagonal axes)
Inequivalent atoms, fractional coordinates:
Er  0.0000  0.0000  0.0951 [6 per cell]
Os  0.0000  0.0000  0.5000 [3 per cell]
W  0.0000  0.0000  0.0000 [3 per cell]